Record 1
Compound: TbErAgPd
Source: the Alexandria database
Functional: PBE
Structure: relaxed

Unit cell a=5.038 b=5.038 c=5.038 alpha=60.00 beta=60.00 gamma=60.00
Fractional positions:
Ag (0.250, 0.250, 0.250)
Tb (0.000, 0.000, 0.000)
Er (0.500, 0.500, 0.500)
Pd (0.750, 0.750, 0.750)

Values from the calculation:
Size of the total moment in μB/f.u.: 0.00
Relative energy among the computed polymorphs in meV per atom: 11
Formation energy from the elements in kJ/mol of atoms: -57
VASP energy in eV per cell: -19.62
Crystal system: cubic

***

Record 2
Compound: TbErAgPd
Source: the Alexandria database
Functional: PBE
Structure: relaxed

Unit cell a=3.554 b=3.554 c=7.192 alpha=90.00 beta=90.00 gamma=90.00
Fractional positions:
Tb (0.500, 0.500, 0.117)
Ag (0.000, 0.000, 0.850)
Pd (0.000, 0.000, 0.364)
Er (0.500, 0.500, 0.596)

Values from the calculation:
Size of the total moment in μB/f.u.: 0.00
Relative energy among the computed polymorphs in meV per atom: 0
Formation energy from the elements in kJ/mol of atoms: -59
VASP energy in eV per cell: -19.66
Crystal system: tetragonal

***

Record 3
Compound: ErThAgPd
Source: the Alexandria database
Functional: PBE
Structure: relaxed

Unit cell a=5.129 b=5.129 c=5.129 alpha=60.00 beta=60.00 gamma=60.00
Fractional positions:
Er (0.250, 0.250, 0.250)
Th (0.750, 0.750, 0.750)
Ag (0.500, 0.500, 0.500)
Pd (0.000, 0.000, 0.000)

Values from the calculation:
Size of the total moment in μB/f.u.: 0.00
Formation energy from the elements in kJ/mol of atoms: -43
VASP energy in eV per cell: -21.79
Crystal system: cubic

***

Record 4
Compound: ErTiAgPd
Source: the Alexandria database
Functional: PBE
Structure: relaxed

Unit cell a=4.799 b=4.799 c=4.799 alpha=60.00 beta=60.00 gamma=60.00
Fractional positions:
Ag (0.250, 0.250, 0.250)
Pd (0.750, 0.750, 0.750)
Ti (0.000, 0.000, 0.000)
Er (0.500, 0.500, 0.500)

Values from the calculation:
Size of the total moment in μB/f.u.: 1.39
Formation energy from the elements in kJ/mol of atoms: -29
VASP energy in eV per cell: -21.69
Crystal system: cubic

***

Record 5
Compound: Er4TlAg2Pd
Source: the Alexandria database
Functional: PBE
Structure: relaxed

Unit cell a=5.115 b=5.115 c=8.835 alpha=73.17 beta=73.17 gamma=60.00
Fractional positions:
Er (0.618, 0.618, 0.147)
Er (0.382, 0.382, 0.853)
Er (0.869, 0.869, 0.392)
Er (0.131, 0.131, 0.608)
Ag (0.255, 0.255, 0.235)
Ag (0.745, 0.745, 0.765)
Pd (0.500, 0.500, 0.500)
Tl (0.000, 0.000, 0.000)

Values from the calculation:
Size of the total moment in μB/f.u.: 0.00
Formation energy from the elements in kJ/mol of atoms: -46
VASP energy in eV per cell: -35.36
Crystal system: trigonal

***

Record 6
Compound: ErTmAgPd
Source: the Alexandria database
Functional: PBE
Structure: relaxed

Unit cell a=3.522 b=3.522 c=7.129 alpha=90.00 beta=90.00 gamma=90.00
Fractional positions:
Er (0.500, 0.500, 0.597)
Tm (0.500, 0.500, 0.117)
Pd (0.000, 0.000, 0.354)
Ag (0.000, 0.000, 0.859)

Values from the calculation:
Size of the total moment in μB/f.u.: 0.00
Relative energy among the computed polymorphs in meV per atom: 0
Formation energy from the elements in kJ/mol of atoms: -61
VASP energy in eV per cell: -19.62
Crystal system: tetragonal

***

Record 7
Compound: ErTmAgPd
Source: the Alexandria database
Functional: PBE
Structure: relaxed

Unit cell a=4.993 b=4.993 c=4.993 alpha=60.00 beta=60.00 gamma=60.00
Fractional positions:
Pd (0.750, 0.750, 0.750)
Er (0.500, 0.500, 0.500)
Ag (0.250, 0.250, 0.250)
Tm (0.000, 0.000, 0.000)

Values from the calculation:
Size of the total moment in μB/f.u.: 0.00
Relative energy among the computed polymorphs in meV per atom: 16
Formation energy from the elements in kJ/mol of atoms: -60
VASP energy in eV per cell: -19.55
Crystal system: cubic

***

Record 8
Compound: Pm2Er3Ag3
Source: the Alexandria database
Functional: PBE
Structure: relaxed

Unit cell a=3.701 b=5.240 c=11.257 alpha=103.46 beta=99.46 gamma=90.00
Fractional positions:
Pm (0.731, 0.231, 0.462)
Pm (0.269, 0.769, 0.538)
Er (0.500, 0.000, 0.000)
Er (0.618, 0.618, 0.236)
Er (0.382, 0.382, 0.764)
Ag (0.000, 0.500, 0.000)
Ag (0.113, 0.113, 0.226)
Ag (0.887, 0.887, 0.774)

Values from the calculation:
Size of the total moment in μB/f.u.: 0.00
Formation energy from the elements in kJ/mol of atoms: -19
VASP energy in eV per cell: -33.34
Crystal system: orthorhombic